1.
Pr5Mg6Sc | PBE | relaxed

Values from the calculation:
Raw total energy in eV/cell: -40.9
Energy relative to the elements in kcal/mol of atoms: -2.10
Symmetry: P2/m (10)
Magnetic moment in μB per formula unit: 0.0
DOS(E_F) in states/eV per atom: 1.11

abc: 5.442 7.760 8.631
angles: 90.00 71.56 90.00
Fractional positions:
1 Pr 0.671 0.500 0.659
2 Pr 0.335 0.000 0.329
3 Pr 0.000 0.500 0.000
4 Pr 0.665 0.000 0.671
5 Pr 0.329 0.500 0.341
6 Sc 0.000 0.000 0.000
7 Mg 0.839 0.759 0.322
8 Mg 0.839 0.241 0.322
9 Mg 0.500 0.240 0.000
10 Mg 0.500 0.760 0.000
11 Mg 0.161 0.759 0.678
12 Mg 0.161 0.241 0.678

2.
Na5Zr3Se8 | PBE | relaxed

Values from the calculation:
Raw total energy in eV/cell: -80.6
Uncorrected formation energy in meV per atom: -1280
Symmetry: R-3m (166)
Magnetic moment in μB per formula unit: 0.0
DOS(E_F) in states/eV per atom: 0.27

abc: 7.952 7.952 8.360
angles: 61.60 61.60 60.00
Fractional positions:
1 Na 0.500 0.000 0.000
2 Na 0.500 0.500 0.000
3 Na 0.000 0.000 0.000
4 Na 0.000 0.500 0.000
5 Na 0.500 0.500 0.500
6 Zr 0.500 0.000 0.500
7 Zr 0.000 0.000 0.500
8 Zr 0.000 0.500 0.500
9 Se 0.251 0.251 0.723
10 Se 0.251 0.775 0.723
11 Se 0.775 0.251 0.723
12 Se 0.759 0.759 0.724
13 Se 0.749 0.749 0.277
14 Se 0.749 0.225 0.277
15 Se 0.225 0.749 0.277
16 Se 0.241 0.241 0.276

3.
SbSe2Cl | PBE | relaxed

Values from the calculation:
Raw total energy in eV/cell: -14.2
Uncorrected formation energy in meV per atom: -310
Symmetry: P2/m (10)
Magnetic moment in μB per formula unit: 0.0
DOS(E_F) in states/eV per atom: 0.19
Energy above the lowest structure with this stoichiometry in meV/atom: 0

abc: 4.129 6.315 5.495
angles: 53.48 90.00 90.00
Fractional positions:
1 Cl 0.500 0.250 0.250
2 Sb 0.500 0.750 0.750
3 Se 0.000 0.918 0.983
4 Se 0.000 0.582 0.517

4.
ZnTcAs3 | PBE | relaxed

Values from the calculation:
Raw total energy in eV/cell: -19.6
Energy relative to the elements in kcal/mol of atoms: 27.43
Symmetry: Pm-3m (221)
Magnetic moment in μB per formula unit: 2.7
DOS(E_F) in states/eV per atom: 0.89
Energy above the lowest structure with this stoichiometry in meV/atom: 685

abc: 4.758 4.758 4.758
angles: 90.00 90.00 90.00
Last column: magnetic moment on the atom in μB.
Fractional positions:
1 Zn 0.000 0.000 0.000  0.01
2 As 0.000 0.500 0.000  -0.14
3 As 0.000 0.000 0.500  -0.11
4 As 0.500 0.000 0.000  -0.09
5 Tc 0.500 0.500 0.500  2.93

5.
MgCu5 | PBE | relaxed

Values from the calculation:
Raw total energy in eV/cell: -22.1
Energy relative to the elements in kcal/mol of atoms: -0.14
Symmetry: P4/mmm (123)
Magnetic moment in μB per formula unit: 0.0
DOS(E_F) in states/eV per atom: 0.40

abc: 2.985 2.985 8.818
angles: 90.00 90.00 90.00
Fractional positions:
1 Cu 0.000 0.000 0.027
2 Cu 0.500 0.500 0.179
3 Cu 0.000 0.000 0.333
4 Cu 0.500 0.500 0.488
5 Cu 0.000 0.000 0.640
6 Mg 0.500 0.500 0.833

6.
SrCaLa2 | PBE | relaxed

Values from the calculation:
Raw total energy in eV/cell: -13.0
Energy relative to the elements in kcal/mol of atoms: 3.31
Symmetry: Imm2 (44)
Magnetic moment in μB per formula unit: 0.0
DOS(E_F) in states/eV per atom: 1.63
Energy above the lowest structure with this stoichiometry in meV/atom: 100

abc: 7.343 7.343 7.343
angles: 146.81 128.39 62.75
Fractional positions:
1 Sr 0.502 0.502 0.000
2 Ca 0.755 0.255 0.500
3 La 0.004 0.004 0.000
4 La 0.239 0.739 0.500

7.
Tb4Ho3In | PBE | relaxed

Values from the calculation:
Raw total energy in eV/cell: -71.8
Energy relative to the elements in kcal/mol of atoms: -2.65
Symmetry: Pm (6)
Magnetic moment in μB per formula unit: 0.0
DOS(E_F) in states/eV per atom: 1.33
Energy above the lowest structure with this stoichiometry in meV/atom: 0

abc: 11.198 8.304 7.020
angles: 90.00 90.00 47.77
Fractional positions:
1 Tb 0.258 0.856 0.000
2 Tb 0.360 0.176 0.000
3 Tb 0.019 0.333 0.241
4 Tb 0.603 0.663 0.248
5 Tb 0.768 0.827 0.500
6 Tb 0.871 0.143 0.500
7 Tb 0.603 0.663 0.752
8 Tb 0.019 0.333 0.759
9 Ho 0.776 0.846 0.000
10 Ho 0.110 0.667 0.258
11 Ho 0.525 0.337 0.252
12 Ho 0.353 0.156 0.500
13 Ho 0.525 0.337 0.748
14 Ho 0.110 0.667 0.742
15 In 0.859 0.163 0.000
16 In 0.271 0.833 0.500

8.
PuTaN | PBE | relaxed

Values from the calculation:
Raw total energy in eV/cell: -35.8
Uncorrected formation energy in meV per atom: -433
Symmetry: I4mm (107)
Magnetic moment in μB per formula unit: 5.8
DOS(E_F) in states/eV per atom: 1.59
Energy above the lowest structure with this stoichiometry in meV/atom: 160

abc: 2.982 2.982 6.308
angles: 103.67 103.67 90.00
Last column: magnetic moment on the atom in μB.
Fractional positions:
1 Ta 0.272 0.272 0.544  -0.09
2 Pu 0.978 0.978 0.956  5.62
3 N 0.750 0.750 0.500  0.01

9.
PmNdZn2 | PBE | relaxed

Values from the calculation:
Raw total energy in eV/cell: -13.3
Energy relative to the elements in kcal/mol of atoms: -7.21
Symmetry: P4/mmm (123)
Magnetic moment in μB per formula unit: 0.0
DOS(E_F) in states/eV per atom: 1.07

abc: 3.680 5.185 5.185
angles: 90.00 90.00 90.00
Fractional positions:
1 Zn 0.000 0.000 0.500
2 Zn 0.000 0.500 0.000
3 Nd 0.500 0.000 0.000
4 Pm 0.500 0.500 0.500

10.
Ce2SiSe | PBE | relaxed

Values from the calculation:
Raw total energy in eV/cell: -25.6
Uncorrected formation energy in meV per atom: -1204
Symmetry: R-3m (166)
Magnetic moment in μB per formula unit: 1.3
DOS(E_F) in states/eV per atom: 2.32
Energy above the lowest structure with this stoichiometry in meV/atom: 18

abc: 4.210 4.210 7.284
angles: 73.20 73.20 60.00
Last column: magnetic moment on the atom in μB.
Fractional positions:
1 Si 0.000 0.000 0.000  -0.03
2 Se 0.500 0.500 0.500  -0.02
3 Ce 0.253 0.253 0.242  0.59
4 Ce 0.747 0.747 0.758  0.59

11.
CaIn2GeW | PBE | relaxed

Values from the calculation:
Raw total energy in eV/cell: -16.0
Energy relative to the elements in kcal/mol of atoms: 41.95
Symmetry: P4/mmm (123)
Magnetic moment in μB per formula unit: 4.1
DOS(E_F) in states/eV per atom: 0.93

abc: 5.614 5.614 5.285
angles: 90.00 90.00 90.00
Last column: magnetic moment on the atom in μB.
Fractional positions:
1 Ge 0.000 0.000 0.500  -0.10
2 Ca 0.000 0.000 0.000  -0.04
3 W 0.500 0.500 0.500  3.20
4 In 0.000 0.500 0.000  -0.01
5 In 0.500 0.000 0.000  -0.01

12.
Rb7H2Au3 | PBE | relaxed

Values from the calculation:
Raw total energy in eV/cell: -24.9
Symmetry: Cmmm (65)
Magnetic moment in μB per formula unit: 0.0
DOS(E_F) in states/eV per atom: 0.59

abc: 5.792 5.392 14.458
angles: 90.00 101.55 90.00
Fractional positions:
1 Rb 0.598 0.000 0.197
2 Rb 0.207 0.000 0.414
3 Rb 0.000 0.000 0.000
4 Rb 0.402 0.000 0.803
5 Rb 0.896 0.500 0.792
6 Rb 0.104 0.500 0.208
7 Rb 0.793 0.000 0.586
8 H 0.103 0.000 0.205
9 H 0.897 0.000 0.795
10 Au 0.500 0.500 0.000
11 Au 0.314 0.500 0.628
12 Au 0.686 0.500 0.372